# 1
An optimized crystal structure of Cd3SbH, computed with PBE.

Computed properties:
For the energy relative to the lowest polymorph listed for this composition, the calculation gives 0.550 eV per atom.

Lattice parameters (Å, degrees): 5.7269 5.7269 5.7269 90.00 90.00 90.00
Fractional coordinates of all 5 atoms:
1 Cd 0.0000 0.0000 0.5000
2 Cd 0.0000 0.5000 0.0000
3 Cd 0.5000 0.0000 0.0000
4 Sb 0.0000 0.0000 0.0000
5 H 0.5000 0.5000 0.5000

***

# 2
An optimized crystal structure of LiAgMo3, computed with PBE.

Computed properties:
For the energy relative to the lowest polymorph listed for this composition, the calculation gives 1.103 eV per atom. Its formation energy from the elements is 2.43 eV per atom.

Lattice parameters (Å, degrees): 4.8549 4.8549 4.8549 90.00 90.00 90.00
Fractional coordinates of all 5 atoms:
1 Li 0.0000 0.0000 0.0000
2 Ag 0.5000 0.5000 0.5000
3 Mo 0.0000 0.5000 0.5000
4 Mo 0.5000 0.0000 0.5000
5 Mo 0.5000 0.5000 0.0000

***

# 3
An optimized crystal structure of LiMnNiAs, computed with PBE.

Computed properties:
Its formation energy from the elements is -0.20 eV per atom.

Lattice parameters (Å, degrees): 4.1944 4.1944 4.1944 60.00 60.00 60.00
Fractional coordinates of all 4 atoms:
1 Li 0.0000 0.0000 0.0000
2 Mn 0.7500 0.7500 0.7500
3 Ni 0.5000 0.5000 0.5000
4 As 0.2500 0.2500 0.2500

***

# 4
An optimized crystal structure of Tm7Ga5Sb, computed with PBE.

Lattice parameters (Å, degrees): 7.8205 7.8205 6.0087 112.58 112.58 82.57
Fractional coordinates of all 13 atoms:
1 Tm 0.0000 0.0000 0.0000
2 Tm 0.0818 0.4459 0.7628
3 Tm 0.3818 0.3818 0.3802
4 Tm 0.4459 0.0818 0.7628
5 Tm 0.5385 0.5385 0.0352
6 Tm 0.6228 0.9638 0.2927
7 Tm 0.9638 0.6228 0.2927
8 Ga 0.0367 0.0367 0.5369
9 Ga 0.2754 0.7680 0.2668
10 Ga 0.2751 0.7689 0.7745
11 Ga 0.7680 0.2754 0.2668
12 Ga 0.7689 0.2751 0.7745
13 Sb 0.6964 0.6964 0.6936

***

# 5
An optimized crystal structure of Sr3H2O6, computed with PBE.

Lattice parameters (Å, degrees): 10.6070 10.6070 10.6070 159.44 159.44 29.24
Fractional coordinates of all 11 atoms:
1 Sr 0.0000 0.0000 0.0000
2 Sr 0.1765 0.1765 0.0000
3 Sr 0.8235 0.8235 0.0000
4 H 0.3472 0.3472 0.0000
5 H 0.6528 0.6528 0.0000
6 O 0.0856 0.5856 0.5000
7 O 0.2992 0.2992 0.0000
8 O 0.4144 0.9144 0.5000
9 O 0.5856 0.0856 0.5000
10 O 0.7008 0.7008 0.0000
11 O 0.9144 0.4144 0.5000

***

# 6
An optimized crystal structure of Ac3Nd2In3, computed with PBE.

Computed properties:
Its formation energy from the elements is -0.31 eV per atom.

Lattice parameters (Å, degrees): 11.7108 11.7108 11.7108 157.52 153.20 35.26
Fractional coordinates of all 8 atoms:
1 Ac 0.0000 0.0000 0.0000
2 Ac 0.3782 0.8782 0.5000
3 Ac 0.6218 0.1218 0.5000
4 Nd 0.2350 0.2350 0.0000
5 Nd 0.7650 0.7650 0.0000
6 In 0.1310 0.6310 0.5000
7 In 0.5000 0.5000 0.0000
8 In 0.8690 0.3690 0.5000

***

# 7
An optimized crystal structure of LiCa3Ag2, computed with PBE.

Computed properties:
For the energy relative to the lowest polymorph listed for this composition, the calculation gives 0.062 eV per atom. Its formation energy from the elements is -0.14 eV per atom.

Lattice parameters (Å, degrees): 7.3834 7.3834 7.3834 71.88 71.88 71.88
Fractional coordinates of all 12 atoms:
1 Li 0.0000 0.0000 0.0000
2 Li 0.5000 0.5000 0.5000
3 Ca 0.0658 0.7500 0.4342
4 Ca 0.2500 0.5658 0.9342
5 Ca 0.4342 0.0658 0.7500
6 Ca 0.5658 0.9342 0.2500
7 Ca 0.7500 0.4342 0.0658
8 Ca 0.9342 0.2500 0.5658
9 Ag 0.1596 0.1596 0.1596
10 Ag 0.3404 0.3404 0.3404
11 Ag 0.6596 0.6596 0.6596
12 Ag 0.8404 0.8404 0.8404

***

# 8
An optimized crystal structure of Tb2Nd3PaP6, computed with PBE.

Computed properties:
Its formation energy from the elements is -1.55 eV per atom.

Lattice parameters (Å, degrees): 7.0585 7.0585 7.0841 99.54 99.54 120.00
Fractional coordinates of all 12 atoms:
1 Tb 0.1662 0.8338 0.0000
2 Tb 0.8338 0.1662 0.0000
3 Nd 0.0000 0.0000 0.5000
4 Nd 0.3315 0.6685 0.5000
5 Nd 0.6685 0.3315 0.5000
6 Pa 0.5000 0.5000 0.0000
7 P 0.0949 0.4211 0.7627
8 P 0.2534 0.2534 0.2372
9 P 0.4211 0.0949 0.7627
10 P 0.5789 0.9051 0.2373
11 P 0.7466 0.7466 0.7628
12 P 0.9051 0.5789 0.2373

***

# 9
An optimized crystal structure of Ca3La2, computed with PBE.

Computed properties:
For the energy relative to the lowest polymorph listed for this composition, the calculation gives 0.231 eV per atom. Its formation energy from the elements is 0.25 eV per atom.

Lattice parameters (Å, degrees): 6.2705 6.2705 6.2705 71.73 71.73 71.73
Fractional coordinates of all 5 atoms:
1 Ca 0.0000 0.5000 0.5000
2 Ca 0.5000 0.0000 0.5000
3 Ca 0.5000 0.5000 0.0000
4 La 0.1101 0.1101 0.1101
5 La 0.8899 0.8899 0.8899

***

# 10
An optimized crystal structure of PmPr2Th, computed with PBE.

Computed properties:
For the energy relative to the lowest polymorph listed for this composition, the calculation gives 0.160 eV per atom. Its formation energy from the elements is 0.20 eV per atom.

Lattice parameters (Å, degrees): 5.8118 5.8118 5.8118 60.00 60.00 60.00
Fractional coordinates of all 4 atoms:
1 Pm 0.0000 0.0000 0.0000
2 Pr 0.2500 0.2500 0.2500
3 Pr 0.7500 0.7500 0.7500
4 Th 0.5000 0.5000 0.5000

***

# 11
An optimized crystal structure of Tm4PbN, computed with PBE.

Computed properties:
For the energy relative to the lowest polymorph listed for this composition, the calculation gives 0.094 eV per atom.

Lattice parameters (Å, degrees): 4.8474 9.0039 7.2088 90.00 90.07 90.00
Fractional coordinates of all 12 atoms:
1 Tm 0.2499 0.0543 0.2297
2 Tm 0.2497 0.2500 0.7109
3 Tm 0.2499 0.4457 0.2297
4 Tm 0.2504 0.7500 0.5714
5 Tm 0.7496 0.2500 0.4286
6 Tm 0.7501 0.5543 0.7703
7 Tm 0.7503 0.7500 0.2891
8 Tm 0.7501 0.9457 0.7703
9 Pb 0.2502 0.7500 0.0002
10 Pb 0.7498 0.2500 0.9998
11 N 0.2498 0.2500 0.4082
12 N 0.7502 0.7500 0.5918

***

# 12
An optimized crystal structure of HfPaV4, computed with PBE.

Computed properties:
Its formation energy from the elements is 0.02 eV per atom.

Lattice parameters (Å, degrees): 5.2185 5.2185 5.2185 60.00 60.00 60.00
Fractional coordinates of all 6 atoms:
1 Hf 0.0000 0.0000 0.0000
2 Pa 0.2500 0.2500 0.2500
3 V 0.1272 0.6243 0.6243
4 V 0.6243 0.1272 0.6243
5 V 0.6243 0.6243 0.1272
6 V 0.6243 0.6243 0.6243

***

Number 1: E -1.384 eV/atom, spin magnetization 0.000 μB per atom. Number 2: E -5.017 eV/atom, spin magnetization 0.000 μB per atom. Number 3: E -5.576 eV/atom, spin magnetization 1.147 μB per atom. Number 4: E -4.302 eV/atom, spin magnetization 0.000 μB per atom. Number 5: E -5.341 eV/atom, spin magnetization 0.365 μB per atom. Number 6: E -4.070 eV/atom, spin magnetization 0.000 μB per atom. Number 7: E -2.415 eV/atom, spin magnetization 0.000 μB per atom. Number 8: E -7.008 eV/atom, spin magnetization 0.000 μB per atom. Number 9: E -2.921 eV/atom, spin magnetization 0.325 μB per atom. Number 10: E -5.230 eV/atom, spin magnetization 0.000 μB per atom. Number 11: E -5.583 eV/atom, spin magnetization 0.000 μB per atom. Number 12: E -9.299 eV/atom, spin magnetization 0.000 μB per atom.